Li2TiFeO4 | PBE with a Hubbard U | optimized geometry

## Properties
- Distance to the lowest polymorph of the same formula: 4 meV/atom

Unit cell a=5.9914 b=6.0571 c=10.4534 alpha=106.97 beta=90.18 gamma=119.97
Atoms (fractional coordinates):
1 Li 0.2464 0.9930 0.7488
2 Li 0.7468 0.4921 0.2502
3 Li 0.2466 0.4911 0.7504
4 Li 0.7460 0.4932 0.7501
5 Li 0.2456 0.4926 0.2502
6 Li 0.4981 0.4949 0.9999
7 Li 0.7463 0.9930 0.2488
8 Li 0.9974 0.4958 0.4997
9 O 0.6167 0.2320 0.8887
10 O 0.1354 0.7748 0.8847
11 O 0.8548 0.2155 0.1130
12 O 0.3599 0.2342 0.1141
13 O 0.6397 0.7737 0.3853
14 O 0.1347 0.7553 0.3842
15 O 0.6169 0.7550 0.8843
16 O 0.8776 0.2342 0.6139
17 O 0.3594 0.2148 0.6138
18 O 0.8766 0.7671 0.1125
19 O 0.1252 0.2220 0.3837
20 O 0.3697 0.7677 0.1143
21 O 0.0978 0.2137 0.8810
22 O 0.6186 0.2228 0.3854
23 O 0.3968 0.7761 0.6167
24 O 0.8782 0.7577 0.6094
25 Ti 0.4732 0.9867 0.4923
26 Ti 0.9814 0.0032 0.5061
27 Ti 0.5125 0.9857 0.9917
28 Ti 0.0215 0.0036 0.0062
29 Fe 0.2472 0.9943 0.2491
30 Fe 0.4987 0.4920 0.4987
31 Fe 0.9959 0.4973 0.9998
32 Fe 0.7468 0.9941 0.7490